Below is an optimized crystal structure of PmMgCoAg, with properties calculated at the GGA-PBE level.

POSCAR file:
```
PmMgCoAg
1.0
-4.3732 1.1253 -1.7724
-3.9756 -2.0672 1.8584
-3.0886 2.6350 2.6551
Mg Ag Pm Co
1 1 1 1
direct
0.5000 0.5000 0.5000 Mg
0.2500 0.2500 0.2500 Ag
0.0000 0.0000 0.0000 Pm
0.7500 0.7500 0.7500 Co
```

Properties
Raw total energy = -4.080 eV/atom
Formation energy = -0.004 eV per atom
Calculated density = 6.91 g/cm3
Fermi-level density of states = 2.89 states/eV per cell
Magnetization = 0.6 Bohr magnetons per cell



Below is an optimized crystal structure of MgCoAgSn, with properties calculated at the GGA-PBE level.

POSCAR file:
```
MgCoAgSn
1.0
-4.4465 -0.3377 -1.0278
-2.1715 -3.9947 0.5191
-3.0880 -0.5088 3.3388
Sn Mg Co Ag
1 1 1 1
direct
0.2500 0.2500 0.2500 Sn
0.7500 0.7500 0.7500 Mg
0.5000 0.5000 0.5000 Co
0.0000 0.0000 0.0000 Ag
```

Properties
Raw total energy = -3.855 eV/atom
Formation energy = 0.033 eV per atom
Calculated density = 7.59 g/cm3
Fermi-level density of states = 2.64 states/eV per cell
Magnetization = 0.7 Bohr magnetons per cell



Below is an optimized crystal structure of TbMgCoAg, with properties calculated at the GGA-PBE level.

POSCAR file:
```
TbMgCoAg
1.0
-3.2050 0.6504 3.4775
0.8945 -1.6137 4.4027
0.9037 3.0801 3.5333
Ag Mg Tb Co
1 1 1 1
direct
0.0000 0.0000 0.0000 Ag
0.7500 0.7500 0.7500 Mg
0.2500 0.2500 0.2500 Tb
0.5000 0.5000 0.5000 Co
```

Properties
Raw total energy = -4.101 eV/atom
Formation energy = -0.055 eV per atom
Calculated density = 7.56 g/cm3
Fermi-level density of states = 2.88 states/eV per cell
Magnetization = 0.5 Bohr magnetons per cell



Below is an optimized crystal structure of MgCoTcAg2, with properties calculated at the GGA-PBE level.

POSCAR file:
```
MgCoTcAg2
1.0
-2.6203 1.6059 -3.7187
-3.5722 -1.2124 1.9935
-0.3064 4.3377 2.0891
Tc Ag Mg Co
1 2 1 1
direct
0.0000 0.5000 0.0000 Tc
0.5000 0.0000 0.0000 Ag
0.0000 0.0000 0.5000 Ag
0.5000 0.5000 0.5000 Mg
0.0000 0.0000 0.0000 Co
```

Properties
Raw total energy = -4.135 eV/atom
Formation energy = 0.818 eV per atom
Calculated density = 6.64 g/cm3
Fermi-level density of states = 4.53 states/eV per cell
Magnetization = 1.3 Bohr magnetons per cell



Question: Which of these has the highest raw total energy?
Answer: MgCoAgSn